A crystal of Tl2Sb2Te relaxed with PBEsol. Source: Alexandria, functional SCAN.

The structure belongs to space group I4/mmm (No. 139); the cell edges are 4.423, 4.423 and 15.005 Å and the angles 90.00°, 90.00° and 90.00°. The inequivalent atoms are Tl at (0.000, 0.500, 0.250), Sb at (0.000, 0.000, 0.096) and Te at (0.000, 0.000, 0.500).

As for the formation energy (no corrections): 0.23 eV per atom. The density of states at the Fermi level comes out at 0.756 states/eV per atom. For the density, the calculation gives 8.82 g/cm³.